A:
# NaSnP3

A relaxed structure of NaSnP3 (PBE, the Alexandria database).

a b c (Å): 5.1354 5.1354 5.1354
angles (deg): 90.00 90.00 90.00
With the nearest neighbours (Å) after each atom.
Fractional positions:
Sn 0.0000 0.0000 0.0000  6 P 2.57
Na 0.5000 0.5000 0.5000  12 P 3.63
P 0.5000 0.0000 0.0000  2 Sn 2.57
P 0.0000 0.5000 0.0000  2 Sn 2.57
P 0.0000 0.0000 0.5000  2 Sn 2.57

Output
Volume   27.09 Å³ per atom
Symmetry   Pm-3m, No. 221

***

B:
# NaSnP3

A relaxed structure of NaSnP3 (PBE, the Alexandria database).

a b c (Å): 4.8888 4.8888 4.8888
angles (deg): 90.00 90.00 90.00
With the nearest neighbours (Å) after each atom.
Fractional positions:
Sn 0.5000 0.5000 0.5000  12 P 3.46
P 0.5000 0.0000 0.0000  2 Na 2.44
P 0.0000 0.0000 0.5000  2 Na 2.44
P 0.0000 0.5000 0.0000  2 Na 2.44
Na 0.0000 0.0000 0.0000  6 P 2.44

Output
Volume   23.37 Å³ per atom
Symmetry   Pm-3m, No. 221

***

The energetic minimum among the shown structures is A; the next structure lies 0.437 eV/atom above.